Entry from the Alexandria database: a geometry-optimized Li5HgPb2 structure (PBE).

Cell and atoms, written as extended XYZ:
```
8
Lattice="4.772 0.000 0.000 0.000 4.772 0.000 -2.386 -2.386 7.069" Properties=species:S:1:pos:R:3 pbc="T T T"
Li 2.386 2.386 0.000
Li 2.386 0.000 5.410
Li 0.000 2.386 5.410
Li 0.000 2.386 1.659
Li 2.386 0.000 1.659
Hg 0.000 0.000 0.000
Pb 2.386 2.386 3.445
Pb 0.000 0.000 3.624
```

Summary:
Volume (A^3/atom): 20.1
Energy relative to the elements (eV per atom): -0.278